Record 1
A relaxed YHo3Er2 crystal. Source: Alexandria, functional PBE-GGA.

Results
**ΔE_f**: 0.75 eV per formula unit
**M_tot**: 0.00 μB per cell
**Energy above the most stable polymorph in this dataset**: 124 meV per atom

Cell lengths 22.914, 3.477, 10.136 Å; angles 90.00, 108.44, 90.00 degrees
Space group C2/m (No. 12)
Unique sites:
1 Y 0.186 0.000 0.039
2 Ho 0.059 0.000 0.440
3 Ho 0.069 0.500 0.766
4 Ho 0.196 0.000 0.714
5 Er 0.070 0.500 0.138
6 Er 0.193 0.000 0.373

***

Record 2
A relaxed NaRh4O8 crystal. Source: Alexandria, functional PBE-GGA.

Results
**Formation energy without anion corrections**: -0.8193 eV/atom
**M_tot**: 0.00 μB per cell
**Energy above the most stable polymorph in this dataset**: 53 meV per atom

Cell lengths 6.2008, 6.2008, 16.6377 Å; angles 90.00, 90.00, 120.00 degrees
Space group R-3m (No. 166, hexagonal axes)
Unique sites:
1 Na 0.0000 0.0000 0.0000
2 Rh 0.0000 0.0000 0.5000
3 Rh 0.0000 0.5000 0.5000
4 O 0.0000 0.0000 0.2221
5 O 0.9998 0.4999 0.2254

***

Record 3
A relaxed Pm3TmSn2C crystal. Source: Alexandria, functional PBE-GGA.

Results
**ΔE_f**: -4.46 eV per formula unit
**M_tot**: 0.00 μB per cell

Cell lengths 4.788, 4.939, 16.404 Å; angles 90.00, 90.00, 90.00 degrees
Space group Immm (No. 71)
Unique sites:
1 Pm 0.000 0.000 0.000
2 Pm 0.000 0.500 0.161
3 Tm 0.000 0.000 0.500
4 Sn 0.000 0.500 0.362
5 C 0.000 0.500 0.000